Record 1
# La2DyY3Er6

A geometry-optimized La2DyY3Er6 structure (GGA-PBE, Alexandria via LeMat-Bulk).

**Calculated formation energy**: 26 meV/atom
**Space-group type**: C2/m, No. 12

Cell and atoms, written as POSCAR:
```
La2DyY3Er6
1.0
-2.707 -4.004 3.855
-1.148 -0.297 -6.068
10.200 -5.879 -0.593
La Dy Y Er
2 1 3 6
Direct
0.333 0.667 0.000 La
0.667 0.333 0.000 La
0.000 0.000 0.000 Dy
0.166 0.834 0.500 Y
0.834 0.166 0.500 Y
0.500 0.500 0.500 Y
0.915 0.583 0.747 Er
0.753 0.753 0.253 Er
0.085 0.417 0.253 Er
0.583 0.915 0.747 Er
0.247 0.247 0.747 Er
0.417 0.085 0.253 Er
```

Record 2
# CoHgI2

A geometry-optimized CoHgI2 structure (GGA-PBE, Alexandria via LeMat-Bulk).

**ΔE_f (raw)**: 238 kJ/mol of formula units
**Excess energy over the best structure of this formula in the dataset**: 0.575 eV per atom
**Space-group type**: Fm-3m, No. 225

Cell and atoms, written as POSCAR:
```
CoHgI2
1.0
4.689 -2.310 1.278
0.251 -5.315 0.800
2.513 -3.143 -3.572
I Co Hg
2 1 1
Direct
0.250 0.250 0.250 I
0.750 0.750 0.750 I
0.000 0.000 0.000 Co
0.500 0.500 0.500 Hg
```

Record 3
# Pr3B4C4

A geometry-optimized Pr3B4C4 structure (GGA-PBE, Alexandria via LeMat-Bulk).

**Calculated formation energy**: 490 meV/atom
**Space-group type**: Immm, No. 71

Cell and atoms, written as POSCAR:
```
Pr3B4C4
1.0
-0.295 3.197 2.872
-0.175 -3.500 3.878
6.882 0.341 -2.904
Pr B C
3 4 4
Direct
0.196 0.196 0.392 Pr
0.804 0.804 0.608 Pr
0.000 0.500 0.000 Pr
0.406 0.241 0.812 B
0.594 0.429 0.188 B
0.594 0.759 0.188 B
0.406 0.571 0.812 B
0.189 0.689 0.379 C
0.811 0.311 0.621 C
0.500 0.853 0.000 C
0.500 0.147 0.000 C
```

Record 4
# Ac2TbPm3Se6

A geometry-optimized Ac2TbPm3Se6 structure (GGA-PBE, Alexandria via LeMat-Bulk).

**ΔE_f (raw)**: -2103 kJ/mol of formula units
**Space-group type**: C2/m, No. 12

Cell and atoms, written as POSCAR:
```
Ac2TbPm3Se6
1.0
-0.373 -6.484 -3.566
0.755 0.160 7.369
-7.062 2.136 -0.570
Ac Tb Pm Se
2 1 3 6
Direct
0.334 0.666 0.000 Ac
0.666 0.334 0.000 Ac
0.000 0.000 0.000 Tb
0.173 0.827 0.500 Pm
0.827 0.173 0.500 Pm
0.500 0.500 0.500 Pm
0.916 0.596 0.744 Se
0.770 0.770 0.263 Se
0.084 0.404 0.256 Se
0.596 0.916 0.744 Se
0.230 0.230 0.737 Se
0.404 0.084 0.256 Se
```